(1)
First-principles (GGA-PBE) data for crystalline Sr2LiRe at its relaxed geometry, as listed in Alexandria via LeMat-Bulk.

Lattice parameters (Å, degrees): 5.9618 5.9618 5.9618 133.90 133.90 67.24
Each line ends with the local moment (μB).
Fractional positions:
Sr 0.0000 0.0000 0.0000  -0.03
Re 0.7500 0.2500 0.5000  1.49
Li 0.5000 0.5000 0.0000  -0.02
Sr 0.2500 0.7500 0.5000  -0.02

Output
- spin magnetization (μB/cell) = 1.6
- polymorph energy (0 for the lowest one) (eV per atom) = 0.195
- calculated formation energy (eV per atom) = 0.97
- space group = I-4m2 (119)
- crystal system = tetragonal

---

(2)
First-principles (GGA-PBE) data for crystalline AlRe2W at its relaxed geometry, as listed in Alexandria via LeMat-Bulk.

Lattice parameters (Å, degrees): 2.8019 4.0954 5.2793 90.00 90.00 90.00
Fractional positions:
Al 0.5000 0.5000 0.7547
W 0.0000 0.0000 0.5038
Re 0.0000 0.0000 0.9926
Re 0.5000 0.5000 0.2489

Output
- spin magnetization (μB/cell) = 0.0
- calculated formation energy (eV per atom) = 0.01
- space group = Pmm2 (25)
- crystal system = orthorhombic

---

(3)
First-principles (GGA-PBE) data for crystalline BeAlCd2 at its relaxed geometry, as listed in Alexandria via LeMat-Bulk.

Lattice parameters (Å, degrees): 5.0777 5.0777 5.0777 131.75 131.75 70.63
Fractional positions:
Al 0.5000 0.5000 0.0000
Cd 0.2500 0.7500 0.5000
Be 0.7500 0.2500 0.5000
Cd 0.0000 0.0000 0.0000

Output
- spin magnetization (μB/cell) = 0.0
- polymorph energy (0 for the lowest one) (eV per atom) = 0.166
- calculated formation energy (eV per atom) = 0.38
- space group = I-4m2 (119)
- crystal system = tetragonal

---

(4)
First-principles (GGA-PBE) data for crystalline NdCd3In at its relaxed geometry, as listed in Alexandria via LeMat-Bulk.

Lattice parameters (Å, degrees): 6.3012 6.3111 6.3185 90.00 90.00 85.95
Fractional positions:
Cd 0.8438 0.8441 0.4998
Nd 0.3424 0.6623 0.2500
In 0.5530 0.1526 0.2500
In 0.4470 0.8474 0.7500
Cd 0.1367 0.5429 0.7500
Cd 0.1562 0.1559 0.9998
Nd 0.6576 0.3377 0.7500
Cd 0.1562 0.1559 0.5002
Cd 0.8438 0.8441 0.0002
Cd 0.8633 0.4571 0.2500

Output
- spin magnetization (μB/cell) = 0.0
- calculated formation energy (eV per atom) = -0.24
- space group = P2_1/m (11)
- crystal system = monoclinic

---

(5)
First-principles (GGA-PBE) data for crystalline ScTa2VN at its relaxed geometry, as listed in Alexandria via LeMat-Bulk.

Lattice parameters (Å, degrees): 4.9546 3.6788 4.9546 90.00 90.00 90.00
Fractional positions:
Ta 0.0000 0.0000 0.5000
V 0.0000 0.0000 0.0000
Sc 0.5000 0.5000 0.5000
Ta 0.5000 0.0000 0.0000
N 0.0000 0.5000 0.0000

Output
- spin magnetization (μB/cell) = 0.0
- space group = P4/mmm (123)
- crystal system = tetragonal
- formation energy without anion corrections (meV per atom) = 929

---

(6)
First-principles (GGA-PBE) data for crystalline ScBe3O at its relaxed geometry, as listed in Alexandria via LeMat-Bulk.

Lattice parameters (Å, degrees): 3.8397 3.8397 3.8397 90.00 90.00 90.00
Fractional positions:
Sc 0.5000 0.5000 0.5000
Be 0.0000 0.5000 0.0000
Be 0.0000 0.0000 0.5000
O 0.0000 0.0000 0.0000
Be 0.5000 0.0000 0.0000

Output
- spin magnetization (μB/cell) = 0.0
- polymorph energy (0 for the lowest one) (eV per atom) = 0.000
- space group = Pm-3m (221)
- crystal system = cubic
- formation energy without anion corrections (meV per atom) = -81

---

(7)
First-principles (GGA-PBE) data for crystalline Tb5Pr3Sm4 at its relaxed geometry, as listed in Alexandria via LeMat-Bulk.

Lattice parameters (Å, degrees): 6.0138 8.6469 9.8087 105.94 72.15 69.65
Fractional positions:
Sm 0.1395 0.7775 0.9434
Pr 0.0000 0.5000 0.5000
Tb 0.3758 0.0515 0.1968
Tb 0.7833 0.5445 0.8888
Pr 0.5210 0.6877 0.2702
Pr 0.4790 0.3123 0.7298
Tb 0.5000 0.5000 0.5000
Tb 0.2167 0.4555 0.1112
Sm 0.8605 0.2225 0.0566
Tb 0.6242 0.9485 0.8032
Sm 0.8310 0.9598 0.3782
Sm 0.1690 0.0402 0.6218

Output
- spin magnetization (μB/cell) = 0.0
- polymorph energy (0 for the lowest one) (eV per atom) = 0.203
- calculated formation energy (eV per atom) = 0.22
- space group = C2/m (12)
- crystal system = monoclinic

---

(8)
First-principles (GGA-PBE) data for crystalline KPb2Cl5 at its relaxed geometry, as listed in Alexandria via LeMat-Bulk.

Lattice parameters (Å, degrees): 8.1483 8.9383 12.7262 89.85 90.00 90.00
Fractional positions:
Cl 0.1492 0.7627 0.1890
Cl 0.8240 0.4609 0.0812
Cl 0.3110 0.2340 0.7168
K 0.9542 0.4888 0.3274
Cl 0.6612 0.0404 0.6023
Pb 0.0651 0.2557 0.9955
Pb 0.5074 0.0141 0.1750
Cl 0.5432 0.7803 0.0029
Pb 0.4349 0.2557 0.4955
Pb 0.9349 0.7443 0.0045
Cl 0.1760 0.5391 0.9188
Cl 0.8110 0.7660 0.7832
Cl 0.8508 0.2373 0.8110
Cl 0.3508 0.7627 0.6890
K 0.4542 0.5112 0.1726
Cl 0.3240 0.5391 0.4188
Pb 0.0074 0.9859 0.3250
Cl 0.9568 0.7803 0.5029
K 0.5458 0.4888 0.8274
Cl 0.1612 0.9596 0.8977
Cl 0.6890 0.7660 0.2832
Pb 0.9926 0.0141 0.6750
Cl 0.8388 0.0404 0.1023
Cl 0.3388 0.9596 0.3977
Cl 0.6492 0.2373 0.3110
Cl 0.0432 0.2197 0.4971
Cl 0.4568 0.2197 0.9971
Cl 0.1890 0.2340 0.2168
Pb 0.5651 0.7443 0.5045
Cl 0.6760 0.4609 0.5812
K 0.0458 0.5112 0.6726
Pb 0.4926 0.9859 0.8250

Output
- spin magnetization (μB/cell) = 0.0
- polymorph energy (0 for the lowest one) (eV per atom) = 0.000
- space group = P2_1/c (14)
- crystal system = monoclinic
- formation energy without anion corrections (meV per atom) = -1371